A plane-wave DFT calculation with GGA+U was carried out for a relaxed structure of Nb3VO.

```
Nb3VO
1.0
4.287 0.000 0.000
0.000 4.287 0.000
0.000 0.000 4.287
Nb V O
3 1 1
Cartesian
0.000 0.000 2.144
0.000 2.144 0.000
2.144 0.000 0.000
2.144 2.144 2.144
0.000 0.000 0.000
```

Results
Total moment = 1.8 μB per formula unit
E above lowest polymorph = 0 meV/atom